Entry 1:
Below is a geometry-optimized BaTaCl structure, with properties calculated at the PBEsol level.

Computed properties:
Crystal system: cubic
DOS(E_F), states/eV per cell: 4.30
Total energy, eV/atom: -4.371

a = 5.4827 Å, b = 5.4827 Å, c = 5.4827 Å
α = 60.00°, β = 60.00°, γ = 60.00°
Closest atoms and distances in Å follow each position.
Atoms (fractional coordinates):
Ba  0.0000  0.0000  0.0000  4 Ta 3.36, 4 Cl 3.36
Ta  0.7500  0.7500  0.7500  4 Ba 3.36
Cl  0.2500  0.2500  0.2500  4 Ba 3.36

Entry 2:
Below is a geometry-optimized BaTaCl2 structure, with properties calculated at the PBEsol level.

Computed properties:
Crystal system: orthorhombic
DOS(E_F), states/eV per cell: 2.97
Total energy, eV/atom: -5.191

a = 5.9464 Å, b = 5.9464 Å, c = 5.9464 Å
α = 148.09°, β = 118.63°, γ = 70.85°
Closest atoms and distances in Å follow each position.
Atoms (fractional coordinates):
Ba  0.0000  0.0000  0.0000  2 Ba 3.27, 8 Cl 3.38-3.57, 4 Ta 3.45
Ta  0.5000  0.5000  0.0000  4 Cl 2.49
Cl  0.3056  0.8056  0.5000  2 Ta 2.49
Cl  0.6944  0.1944  0.5000  2 Ta 2.49

Short version: ρ = 5.04, 6.72 g/cm3, in the order given.
Short version: magnetization = 4.00, 0.00 μB per cell, in the order given.